# 1
Here is a geometry-optimized MnBe2Ir structure from the Alexandria database. Energies are from GGA-PBEsol.

The symmetry is No. 225. The value obtained for the magnetization is 3.0 Bohr magnetons per cell. For the polymorph energy (0 for the lowest one), the calculation gives 0.0 meV/atom. The calculation puts the density of states at the Fermi level at 1.4 states/eV/cell. Its energy relative to the elements is -0.401 eV/atom.

Cell: 3.878 3.878 3.878 Å, 60.00 60.00 60.00°
Element x y z (fractional)
1 Be 0.250 0.250 0.250
2 Be 0.750 0.750 0.750
3 Ir 0.500 0.500 0.500
4 Mn 0.000 0.000 0.000



# 2
Here is a geometry-optimized ScMn2BeIr structure from the Alexandria database. Energies are from GGA-PBEsol.

The symmetry is No. 123. The value obtained for the magnetization is 5.5 Bohr magnetons per cell. The calculation puts the density of states at the Fermi level at 4.0 states/eV/cell. Its energy relative to the elements is 0.469 eV/atom.

Cell: 3.934 3.934 4.499 Å, 90.00 90.00 90.00°
Element x y z (fractional)
1 Sc 0.000 0.000 0.500
2 Be 0.000 0.000 0.000
3 Ir 0.500 0.500 0.500
4 Mn 0.000 0.500 0.000
5 Mn 0.500 0.000 0.000